1.
Entry from the Alexandria database: Sr2MgTl after structural relaxation (GGA-PBEsol).

Output
ΔE_f: -279 meV per atom
Space-group type: Fm-3m

Lattice parameters (Å, degrees): 5.7287 5.7287 5.7287 60.00 60.00 60.00
Closest atoms and distances in Å follow each position.
Positions (direct):
Sr 0.2500 0.2500 0.2500  4 Tl 3.51, 4 Mg 3.51
Sr 0.7500 0.7500 0.7500  4 Tl 3.51, 4 Mg 3.51
Mg 0.0000 0.0000 0.0000  8 Sr 3.51
Tl 0.5000 0.5000 0.5000  8 Sr 3.51

=====

2.
Entry from the Alexandria database: Sr2MgW after structural relaxation (GGA-PBEsol).

Output
ΔE_f: 1063 meV per atom
Space-group type: F-43m

Lattice parameters (Å, degrees): 5.3583 5.3583 5.3583 60.00 60.00 60.00
Closest atoms and distances in Å follow each position.
Positions (direct):
Sr 0.0000 0.0000 0.0000  4 Mg 3.28, 4 Sr 3.28
Sr 0.2500 0.2500 0.2500  4 W 3.28, 4 Sr 3.28
Mg 0.7500 0.7500 0.7500  4 W 3.28, 4 Sr 3.28
W 0.5000 0.5000 0.5000  4 Mg 3.28, 4 Sr 3.28

=====

3.
Entry from the Alexandria database: Sr2MgW after structural relaxation (GGA-PBEsol).

Output
ΔE_f: 875 meV per atom
Space-group type: Cm

Lattice parameters (Å, degrees): 6.2974 6.2974 5.9311 106.61 106.61 29.19
Closest atoms and distances in Å follow each position.
Positions (direct):
Sr 0.0000 0.0000 0.0000  2 Sr 3.17, 3 Mg 3.26-3.54, 4 W 3.39-3.45
Sr 0.1983 0.1983 0.6180  2 Sr 3.17, 3 W 3.33-3.38, 2 Mg 3.39
Mg 0.7721 0.7721 0.1795  2 W 2.81
W 0.4468 0.4468 0.4726  2 Mg 2.81

=====

4.
Entry from the Alexandria database: SrMgW3 after structural relaxation (GGA-PBEsol).

Output
ΔE_f: 2557 meV per atom
Excess energy over the best structure of this formula in the dataset: 0 meV/atom
Space-group type: Pm-3m

Lattice parameters (Å, degrees): 4.7612 4.7612 4.7612 90.00 90.00 90.00
Closest atoms and distances in Å follow each position.
Positions (direct):
Sr 0.0000 0.0000 0.0000  12 W 3.37
Mg 0.5000 0.5000 0.5000  6 W 2.38
W 0.0000 0.5000 0.5000  2 Mg 2.38
W 0.5000 0.0000 0.5000  2 Mg 2.38
W 0.5000 0.5000 0.0000  2 Mg 2.38